# Li7Mn2Co3O12 (GGA+U, relaxed)
data_Li7Mn2Co3O12
_cell_length_a 3.026
_cell_length_b 6.004
_cell_length_c 12.405
_cell_angle_alpha 76.64
_cell_angle_beta 88.44
_cell_angle_gamma 86.39
_symmetry_space_group_name_H-M 'P -1'
_symmetry_Int_Tables_number 2
loop_
_symmetry_equiv_pos_as_xyz
'x,y,z'
'-x,-y,-z'
loop_
_atom_site_label
_atom_site_fract_x
_atom_site_fract_y
_atom_site_fract_z
Li1 0.000 0.000 0.000
Li2 0.000 0.500 0.000
Li3 0.010 0.164 0.669
Li4 0.497 0.319 0.839
Li5 0.500 0.000 0.500
Mn1 0.007 0.335 0.330
Co1 0.487 0.160 0.158
Co2 0.500 0.500 0.500
O1 0.017 0.263 0.492
O2 0.025 0.405 0.170
O3 0.036 0.062 0.835
O4 0.462 0.425 0.660
O5 0.471 0.099 0.318
O6 0.496 0.245 0.015
# Crystal system: triclinic
# Calculated volume: 9.12 Å³/atom
# E_tot: -5.81 eV per atom
# Size of the total moment: 18.02 μB per formula unit